No. 1
Density functional theory data (PBE) for a geometry-optimized Na4PaTe5 structure.

Magnetization in Bohr magnetons per cell: 0.00
Energy relative to the elements, uncorrected in eV per atom: -0.824
Total energy in eV/atom: -3.87

Structure (CIF):
```
data_Na4PaTe5
_chemical_formula_sum 'Na8 Pa2 Te10'
_cell_length_a 10.2053
_cell_length_b 10.2053
_cell_length_c 6.2818
_cell_angle_alpha 90.00
_cell_angle_beta 90.00
_cell_angle_gamma 90.00
_symmetry_space_group_name_H-M 'I 4/m'
_symmetry_Int_Tables_number 87
_symmetry_space_group_name_Hall '-I 4'
loop_
_atom_site_label
_atom_site_type_symbol
_atom_site_fract_x
_atom_site_fract_y
_atom_site_fract_z
Na1 Na 0.0899 0.3050 0.0000
Pa1 Pa 0.0000 0.0000 0.5000
Te1 Te 0.0000 0.0000 0.0000
Te2 Te 0.0922 0.2764 0.5000
```



No. 2
Density functional theory data (PBE) for a geometry-optimized Na2Pa3Te8 structure.

Magnetization in Bohr magnetons per cell: 2.35
Energy relative to the elements, uncorrected in eV per atom: -0.818
Total energy in eV/atom: -5.15

Structure (CIF):
```
data_Na2Pa3Te8
_chemical_formula_sum 'Na4 Pa6 Te16'
_cell_length_a 15.7032
_cell_length_b 8.8917
_cell_length_c 7.6568
_cell_angle_alpha 90.00
_cell_angle_beta 106.83
_cell_angle_gamma 90.00
_symmetry_space_group_name_H-M 'C 1 2/m 1'
_symmetry_Int_Tables_number 12
loop_
_symmetry_equiv_pos_as_xyz
'x,y,z'
'-x,-y,-z'
'-x,y,-z'
'x,-y,z'
'x+1/2,y+1/2,z'
'-x+1/2,-y+1/2,-z'
'-x+1/2,y+1/2,-z'
'x+1/2,-y+1/2,z'
loop_
_atom_site_label
_atom_site_type_symbol
_atom_site_fract_x
_atom_site_fract_y
_atom_site_fract_z
Na1 Na 0.2401 0.0000 0.1510
Pa1 Pa 0.0000 0.2438 0.5000
Pa2 Pa 0.0000 0.5000 0.0000
Te1 Te 0.1102 0.2580 0.8941
Te2 Te 0.1129 0.5000 0.4000
Te3 Te 0.1161 0.0000 0.4289
```



No. 3
Density functional theory data (PBE) for a geometry-optimized NaPa2Te8 structure.

Magnetization in Bohr magnetons per cell: 0.00
Energy relative to the elements, uncorrected in eV per atom: -0.563
Total energy in eV/atom: -4.69

Structure (CIF):
```
data_NaPa2Te8
_chemical_formula_sum 'Na2 Pa4 Te16'
_cell_length_a 9.8909
_cell_length_b 12.7900
_cell_length_c 5.8843
_cell_angle_alpha 90.00
_cell_angle_beta 97.34
_cell_angle_gamma 90.00
_symmetry_space_group_name_H-M 'C 1 2/m 1'
_symmetry_Int_Tables_number 12
loop_
_symmetry_equiv_pos_as_xyz
'x,y,z'
'-x,-y,-z'
'-x,y,-z'
'x,-y,z'
'x+1/2,y+1/2,z'
'-x+1/2,-y+1/2,-z'
'-x+1/2,y+1/2,-z'
'x+1/2,-y+1/2,z'
loop_
_atom_site_label
_atom_site_type_symbol
_atom_site_fract_x
_atom_site_fract_y
_atom_site_fract_z
Na1 Na 0.0000 0.0000 0.0000
Pa1 Pa 0.0000 0.2998 0.5000
Te1 Te 0.0000 0.2423 0.0000
Te2 Te 0.0862 0.5000 0.8184
Te3 Te 0.2165 0.1221 0.5735
```



No. 4
Density functional theory data (PBE) for a geometry-optimized Na5PaTe5 structure.

Magnetization in Bohr magnetons per cell: 0.00
Energy relative to the elements, uncorrected in eV per atom: -0.910
Total energy in eV/atom: -3.80

Structure (CIF):
```
data_Na5PaTe5
_chemical_formula_sum 'Na10 Pa2 Te10'
_cell_length_a 15.0239
_cell_length_b 6.1481
_cell_length_c 8.9296
_cell_angle_alpha 90.00
_cell_angle_beta 108.16
_cell_angle_gamma 90.00
_symmetry_space_group_name_H-M 'C 1 2/m 1'
_symmetry_Int_Tables_number 12
loop_
_symmetry_equiv_pos_as_xyz
'x,y,z'
'-x,-y,-z'
'-x,y,-z'
'x,-y,z'
'x+1/2,y+1/2,z'
'-x+1/2,-y+1/2,-z'
'-x+1/2,y+1/2,-z'
'x+1/2,-y+1/2,z'
loop_
_atom_site_label
_atom_site_type_symbol
_atom_site_fract_x
_atom_site_fract_y
_atom_site_fract_z
Na1 Na 0.0000 0.0000 0.0000
Na2 Na 0.1864 0.5000 0.3626
Na3 Na 0.1936 0.5000 0.8248
Pa1 Pa 0.0000 0.0000 0.5000
Te1 Te 0.0000 0.5000 0.5000
Te2 Te 0.1432 0.0000 0.3281
Te3 Te 0.1532 0.0000 0.8144
```



No. 5
Density functional theory data (PBE) for a geometry-optimized Na2ThPa2Te6 structure.

Magnetization in Bohr magnetons per cell: 7.62
Energy relative to the elements, uncorrected in eV per atom: -0.931
Total energy in eV/atom: -5.29

Structure (CIF):
```
data_Na2ThPa2Te6
_chemical_formula_sum 'Na4 Th2 Pa4 Te12'
_cell_length_a 7.5288
_cell_length_b 13.0709
_cell_length_c 8.2091
_cell_angle_alpha 90.00
_cell_angle_beta 107.65
_cell_angle_gamma 90.00
_symmetry_space_group_name_H-M 'C 1 2/m 1'
_symmetry_Int_Tables_number 12
loop_
_symmetry_equiv_pos_as_xyz
'x,y,z'
'-x,-y,-z'
'-x,y,-z'
'x,-y,z'
'x+1/2,y+1/2,z'
'-x+1/2,-y+1/2,-z'
'-x+1/2,y+1/2,-z'
'x+1/2,-y+1/2,z'
loop_
_atom_site_label
_atom_site_type_symbol
_atom_site_fract_x
_atom_site_fract_y
_atom_site_fract_z
Na1 Na 0.0000 0.1634 0.0000
Th1 Th 0.0000 0.0000 0.5000
Pa1 Pa 0.0000 0.3327 0.5000
Te1 Te 0.2367 0.5000 0.7392
Te2 Te 0.2497 0.1675 0.7400
```



No. 6
Density functional theory data (PBE) for a geometry-optimized Na3ThPa2Te6 structure.

Magnetization in Bohr magnetons per cell: 8.24
Energy relative to the elements, uncorrected in eV per atom: -0.927
Total energy in eV/atom: -5.03

Structure (CIF):
```
data_Na3ThPa2Te6
_chemical_formula_sum 'Na6 Th2 Pa4 Te12'
_cell_length_a 7.5095
_cell_length_b 13.0046
_cell_length_c 8.2733
_cell_angle_alpha 90.00
_cell_angle_beta 107.60
_cell_angle_gamma 90.00
_symmetry_space_group_name_H-M 'C 1 2/m 1'
_symmetry_Int_Tables_number 12
loop_
_symmetry_equiv_pos_as_xyz
'x,y,z'
'-x,-y,-z'
'-x,y,-z'
'x,-y,z'
'x+1/2,y+1/2,z'
'-x+1/2,-y+1/2,-z'
'-x+1/2,y+1/2,-z'
'x+1/2,-y+1/2,z'
loop_
_atom_site_label
_atom_site_type_symbol
_atom_site_fract_x
_atom_site_fract_y
_atom_site_fract_z
Na1 Na 0.0000 0.0000 0.0000
Na2 Na 0.0000 0.3362 0.0000
Th1 Th 0.0000 0.5000 0.5000
Pa1 Pa 0.0000 0.1673 0.5000
Te1 Te 0.2426 0.0000 0.7416
Te2 Te 0.2501 0.1686 0.2571
```